Model a:
BaIrSe2 | the Alexandria database | PBE | optimized geometry; crystal system = trigonal
1.0
2.072 1.196 6.614
-2.072 1.196 6.614
0.000 -2.392 6.614
Ba Ir Se
1 1 2
Direct
0.000 0.000 0.000
0.824 0.824 0.824
0.217 0.217 0.217
0.441 0.441 0.441

***

Model b:
BaIrSe2 | the Alexandria database | PBE | optimized geometry; crystal system = tetragonal
1.0
3.833 0.000 0.000
0.000 3.833 0.000
0.000 0.000 6.853
Ba Ir Se
1 1 2
Direct
0.000 0.000 0.000
0.500 0.500 0.417
0.000 0.000 0.469
0.500 0.500 0.777

***

Most stable structure among those shown: model a. Next: +0.393 eV/atom.